Record 1
DFT (SCAN) results for TiRh3Pb at its PBEsol-relaxed geometry.

The calculation puts the density at 8.41 Mg/m³. Its formation energy is 132.7 kJ per mole of atoms. Its raw total energy is -2.73779 Ry/atom. Its symmetry is Pm-3m.

```
data_TiRh3Pb
_chemical_formula_sum 'Ti1 Rh3 Pb1'
_symmetry_space_group_name_H-M 'P 1'
_symmetry_Int_Tables_number 1
_symmetry_space_group_name_Hall 'P 1'
_cell_length_a 4.8099
_cell_length_b 4.8099
_cell_length_c 4.8099
_cell_angle_alpha 90.00
_cell_angle_beta 90.00
_cell_angle_gamma 90.00
loop_
_atom_site_label
_atom_site_fract_x
_atom_site_fract_y
_atom_site_fract_z
_atom_site_occupancy
Rh1 0.0000 0.0000 0.5000 1
Rh2 0.5000 0.0000 0.0000 1
Pb1 0.0000 0.0000 0.0000 1
Rh3 0.0000 0.5000 0.0000 1
Ti1 0.5000 0.5000 0.5000 1
```

=====

Record 2
DFT (SCAN) results for DySi2Pt2 at its PBEsol-relaxed geometry.

The calculation puts the density at 12.02 Mg/m³. The raw formation energy is -624 kJ/mol of formula units. Its raw total energy is -3.15575 Ry/atom. Its symmetry is P4/nmm.

```
data_DySi2Pt2
_chemical_formula_sum 'Dy2 Si4 Pt4'
_symmetry_space_group_name_H-M 'P 1'
_symmetry_Int_Tables_number 1
_symmetry_space_group_name_Hall 'P 1'
_cell_length_a 4.1401
_cell_length_b 4.1401
_cell_length_c 9.8103
_cell_angle_alpha 90.00
_cell_angle_beta 90.00
_cell_angle_gamma 90.00
loop_
_atom_site_label
_atom_site_fract_x
_atom_site_fract_y
_atom_site_fract_z
_atom_site_occupancy
Si1 0.0000 0.5000 0.8651 1
Pt1 0.5000 0.5000 0.0000 1
Pt2 0.0000 0.5000 0.6247 1
Pt3 0.5000 0.0000 0.3753 1
Dy1 0.5000 0.0000 0.7465 1
Pt4 0.0000 0.0000 0.0000 1
Si2 0.0000 0.0000 0.5000 1
Dy2 0.0000 0.5000 0.2535 1
Si3 0.5000 0.0000 0.1349 1
Si4 0.5000 0.5000 0.5000 1
```

=====

Record 3
DFT (SCAN) results for CuRhPbSe2 at its PBEsol-relaxed geometry.

The calculation puts the density at 6.27 Mg/m³. The raw formation energy is 606 kJ/mol of formula units. Its raw total energy is -2.33173 Ry/atom. Its symmetry is P4/mmm.

```
data_CuRhPbSe2
_chemical_formula_sum 'Cu1 Rh1 Pb1 Se2'
_symmetry_space_group_name_H-M 'P 1'
_symmetry_Int_Tables_number 1
_symmetry_space_group_name_Hall 'P 1'
_cell_length_a 4.9841
_cell_length_b 5.3147
_cell_length_c 5.3147
_cell_angle_alpha 90.00
_cell_angle_beta 90.00
_cell_angle_gamma 90.00
loop_
_atom_site_label
_atom_site_fract_x
_atom_site_fract_y
_atom_site_fract_z
_atom_site_occupancy
Cu1 0.5000 0.5000 0.5000 1
Se1 0.0000 0.0000 0.5000 1
Rh1 0.5000 0.0000 0.0000 1
Pb1 0.0000 0.0000 0.0000 1
Se2 0.0000 0.5000 0.0000 1
```

=====

Record 4
DFT (SCAN) results for Cu2H3ClO3 at its PBEsol-relaxed geometry.

The calculation puts the density at 3.86 Mg/m³. Its raw total energy is -0.61869 Ry/atom. The calculation puts the excess energy over the best structure of this formula in the dataset at 0.78 kJ/mol of atoms. Its symmetry is C2/m.

```
data_Cu2H3ClO3
_chemical_formula_sum 'Cu4 H6 Cl2 O6'
_symmetry_space_group_name_H-M 'P 1'
_symmetry_Int_Tables_number 1
_symmetry_space_group_name_Hall 'P 1'
_cell_length_a 6.0069
_cell_length_b 6.0069
_cell_length_c 6.0012
_cell_angle_alpha 69.85
_cell_angle_beta 69.85
_cell_angle_gamma 69.26
loop_
_atom_site_label
_atom_site_fract_x
_atom_site_fract_y
_atom_site_fract_z
_atom_site_occupancy
O1 0.2257 0.2257 0.3582 1
O2 0.1419 0.7630 0.2658 1
O3 0.2370 0.8581 0.7342 1
Cl1 0.3200 0.3200 0.8179 1
Cu1 0.5000 0.0000 0.5000 1
H1 0.6734 0.2813 0.7785 1
H2 0.2712 0.2712 0.1735 1
Cu2 0.0000 0.0000 0.5000 1
H3 0.7288 0.7288 0.8265 1
Cu3 0.0000 0.5000 0.5000 1
O4 0.8581 0.2370 0.7342 1
H4 0.2813 0.6734 0.7785 1
Cl2 0.6800 0.6800 0.1821 1
Cu4 0.0000 0.0000 0.0000 1
H5 0.3266 0.7187 0.2215 1
H6 0.7187 0.3266 0.2215 1
O5 0.7630 0.1419 0.2658 1
O6 0.7743 0.7743 0.6418 1
```

=====

Record 5
DFT (SCAN) results for RuPbAu2 at its PBEsol-relaxed geometry.

The calculation puts the density at 15.82 Mg/m³. Its formation energy is 31.6 kJ per mole of atoms. Its raw total energy is -4.54980 Ry/atom. Its symmetry is Immm.

```
data_RuPbAu2
_chemical_formula_sum 'Ru1 Pb1 Au2'
_symmetry_space_group_name_H-M 'P 1'
_symmetry_Int_Tables_number 1
_symmetry_space_group_name_Hall 'P 1'
_cell_length_a 3.0320
_cell_length_b 4.5290
_cell_length_c 6.0182
_cell_angle_alpha 112.10
_cell_angle_beta 104.59
_cell_angle_gamma 90.00
loop_
_atom_site_label
_atom_site_fract_x
_atom_site_fract_y
_atom_site_fract_z
_atom_site_occupancy
Au1 0.2181 0.2181 0.4363 1
Au2 0.7819 0.7819 0.5637 1
Ru1 0.5000 0.0000 0.0000 1
Pb1 0.0000 0.5000 0.0000 1
```

=====

Record 6
DFT (SCAN) results for Si2MoI at its PBEsol-relaxed geometry.

The calculation puts the density at 6.83 Mg/m³. The raw formation energy is 483 kJ/mol of formula units. Its raw total energy is -1.59215 Ry/atom. Its symmetry is Fm-3m.

```
data_Si2MoI
_chemical_formula_sum 'Si2 Mo1 I1'
_symmetry_space_group_name_H-M 'P 1'
_symmetry_Int_Tables_number 1
_symmetry_space_group_name_Hall 'P 1'
_cell_length_a 4.5776
_cell_length_b 4.5776
_cell_length_c 4.5776
_cell_angle_alpha 60.00
_cell_angle_beta 60.00
_cell_angle_gamma 60.00
loop_
_atom_site_label
_atom_site_fract_x
_atom_site_fract_y
_atom_site_fract_z
_atom_site_occupancy
Si1 0.7500 0.7500 0.7500 1
I1 0.5000 0.5000 0.5000 1
Si2 0.2500 0.2500 0.2500 1
Mo1 0.0000 0.0000 0.0000 1
```

=====

Record 7
DFT (SCAN) results for SnB3As at its PBEsol-relaxed geometry.

The calculation puts the density at 5.19 Mg/m³. Its formation energy is 170.1 kJ per mole of atoms. Its raw total energy is -1.02286 Ry/atom. Its symmetry is Pm-3m.

```
data_SnB3As
_chemical_formula_sum 'Sn1 B3 As1'
_symmetry_space_group_name_H-M 'P 1'
_symmetry_Int_Tables_number 1
_symmetry_space_group_name_Hall 'P 1'
_cell_length_a 4.1668
_cell_length_b 4.1668
_cell_length_c 4.1668
_cell_angle_alpha 90.00
_cell_angle_beta 90.00
_cell_angle_gamma 90.00
loop_
_atom_site_label
_atom_site_fract_x
_atom_site_fract_y
_atom_site_fract_z
_atom_site_occupancy
B1 0.0000 0.5000 0.0000 1
B2 0.0000 0.0000 0.5000 1
B3 0.5000 0.0000 0.0000 1
Sn1 0.5000 0.5000 0.5000 1
As1 0.0000 0.0000 0.0000 1
```

=====

Record 8
DFT (SCAN) results for La2NiRh at its PBEsol-relaxed geometry.

The calculation puts the density at 8.47 Mg/m³. Its formation energy is -44.8 kJ per mole of atoms. Its raw total energy is -2.53595 Ry/atom. Its symmetry is P4/mmm.

```
data_La2NiRh
_chemical_formula_sum 'La2 Ni1 Rh1'
_symmetry_space_group_name_H-M 'P 1'
_symmetry_Int_Tables_number 1
_symmetry_space_group_name_Hall 'P 1'
_cell_length_a 3.5247
_cell_length_b 4.9479
_cell_length_c 4.9400
_cell_angle_alpha 90.00
_cell_angle_beta 90.00
_cell_angle_gamma 90.00
loop_
_atom_site_label
_atom_site_fract_x
_atom_site_fract_y
_atom_site_fract_z
_atom_site_occupancy
Rh1 0.5000 0.0000 0.5000 1
La1 0.0000 0.0000 0.0000 1
La2 0.0000 0.5000 0.5000 1
Ni1 0.5000 0.5000 0.0000 1
```